1.
# AcPr9Ho2 (PBE-GGA, optimized geometry)
data_AcPr9Ho2
_chemical_formula_sum 'Ac1 Pr9 Ho2'
_cell_length_a 5.238
_cell_length_b 5.238
_cell_length_c 15.730
_cell_angle_alpha 90.00
_cell_angle_beta 90.00
_cell_angle_gamma 90.00
_symmetry_space_group_name_H-M 'P 1'
_symmetry_Int_Tables_number 1
_symmetry_space_group_name_Hall 'P 1'
loop_
_atom_site_label
_atom_site_type_symbol
_atom_site_fract_x
_atom_site_fract_y
_atom_site_fract_z
_atom_site_occupancy
Ac1 Ac 0.000 0.000 0.000 1
Pr1 Pr 0.000 0.500 0.174 1
Pr2 Pr 0.000 0.500 0.500 1
Pr3 Pr 0.000 0.500 0.826 1
Pr4 Pr 0.500 0.000 0.174 1
Pr5 Pr 0.500 0.000 0.500 1
Pr6 Pr 0.500 0.000 0.826 1
Pr7 Pr 0.500 0.500 0.000 1
Pr8 Pr 0.500 0.500 0.338 1
Pr9 Pr 0.500 0.500 0.662 1
Ho1 Ho 0.000 0.000 0.337 1
Ho2 Ho 0.000 0.000 0.663 1
# - Fermi-level density of states: 1.7712 states/eV/atom
# - Space group: P4/mmm
# - Electronic total energy: -4.669 eV/atom

2.
# Ac2Pr4Ho5 (PBE-GGA, optimized geometry)
data_Ac2Pr4Ho5
_chemical_formula_sum 'Ac2 Pr4 Ho5'
_cell_length_a 12.350
_cell_length_b 12.350
_cell_length_c 9.119
_cell_angle_alpha 111.04
_cell_angle_beta 111.04
_cell_angle_gamma 17.49
_symmetry_space_group_name_H-M 'P 1'
_symmetry_Int_Tables_number 1
_symmetry_space_group_name_Hall 'P 1'
loop_
_atom_site_label
_atom_site_type_symbol
_atom_site_fract_x
_atom_site_fract_y
_atom_site_fract_z
_atom_site_occupancy
Ac1 Ac 0.108 0.108 0.447 1
Ac2 Ac 0.892 0.892 0.553 1
Pr1 Pr 0.184 0.184 0.889 1
Pr2 Pr 0.458 0.458 0.282 1
Pr3 Pr 0.542 0.542 0.718 1
Pr4 Pr 0.816 0.816 0.111 1
Ho1 Ho 0.000 0.000 0.000 1
Ho2 Ho 0.249 0.249 0.336 1
Ho3 Ho 0.374 0.374 0.878 1
Ho4 Ho 0.626 0.626 0.122 1
Ho5 Ho 0.751 0.751 0.664 1
# - Fermi-level density of states: 1.4559 states/eV/atom
# - Space group: C2/m
# - Electronic total energy: -4.519 eV/atom

3.
# AcPr3Ho12 (PBE-GGA, optimized geometry)
data_AcPr3Ho12
_chemical_formula_sum 'Ac1 Pr3 Ho12'
_cell_length_a 5.075
_cell_length_b 5.075
_cell_length_c 20.312
_cell_angle_alpha 90.00
_cell_angle_beta 90.00
_cell_angle_gamma 90.00
_symmetry_space_group_name_H-M 'P 1'
_symmetry_Int_Tables_number 1
_symmetry_space_group_name_Hall 'P 1'
loop_
_atom_site_label
_atom_site_type_symbol
_atom_site_fract_x
_atom_site_fract_y
_atom_site_fract_z
_atom_site_occupancy
Ac1 Ac 0.000 0.000 0.000 1
Pr1 Pr 0.000 0.000 0.252 1
Pr2 Pr 0.000 0.000 0.500 1
Pr3 Pr 0.000 0.000 0.748 1
Ho1 Ho 0.000 0.500 0.129 1
Ho2 Ho 0.000 0.500 0.376 1
Ho3 Ho 0.000 0.500 0.624 1
Ho4 Ho 0.000 0.500 0.871 1
Ho5 Ho 0.500 0.000 0.129 1
Ho6 Ho 0.500 0.000 0.376 1
Ho7 Ho 0.500 0.000 0.624 1
Ho8 Ho 0.500 0.000 0.871 1
Ho9 Ho 0.500 0.500 0.000 1
Ho10 Ho 0.500 0.500 0.253 1
Ho11 Ho 0.500 0.500 0.500 1
Ho12 Ho 0.500 0.500 0.747 1
# - Fermi-level density of states: 1.4811 states/eV/atom
# - Space group: P4/mmm
# - Electronic total energy: -4.551 eV/atom

4.
# AcPr5Ho (PBE-GGA, optimized geometry)
data_AcPr5Ho
_chemical_formula_sum 'Ac2 Pr10 Ho2'
_cell_length_a 6.818
_cell_length_b 6.818
_cell_length_c 11.920
_cell_angle_alpha 102.35
_cell_angle_beta 102.35
_cell_angle_gamma 97.22
_symmetry_space_group_name_H-M 'P 1'
_symmetry_Int_Tables_number 1
_symmetry_space_group_name_Hall 'P 1'
loop_
_atom_site_label
_atom_site_type_symbol
_atom_site_fract_x
_atom_site_fract_y
_atom_site_fract_z
_atom_site_occupancy
Ac1 Ac 0.000 0.500 0.000 1
Ac2 Ac 0.500 0.000 0.500 1
Pr1 Pr 0.067 0.276 0.534 1
Pr2 Pr 0.082 0.918 0.250 1
Pr3 Pr 0.276 0.067 0.034 1
Pr4 Pr 0.303 0.446 0.331 1
Pr5 Pr 0.446 0.303 0.831 1
Pr6 Pr 0.554 0.697 0.169 1
Pr7 Pr 0.697 0.554 0.669 1
Pr8 Pr 0.724 0.933 0.966 1
Pr9 Pr 0.918 0.082 0.750 1
Pr10 Pr 0.933 0.724 0.466 1
Ho1 Ho 0.257 0.743 0.750 1
Ho2 Ho 0.743 0.257 0.250 1
# - Fermi-level density of states: 1.4683 states/eV/atom
# - Space group: C2/c
# - Electronic total energy: -4.569 eV/atom

5.
# Ac2PrHo6 (PBE-GGA, optimized geometry)
data_Ac2PrHo6
_chemical_formula_sum 'Ac2 Pr1 Ho6'
_cell_length_a 6.302
_cell_length_b 6.302
_cell_length_c 9.030
_cell_angle_alpha 90.00
_cell_angle_beta 90.00
_cell_angle_gamma 120.39
_symmetry_space_group_name_H-M 'P 1'
_symmetry_Int_Tables_number 1
_symmetry_space_group_name_Hall 'P 1'
loop_
_atom_site_label
_atom_site_type_symbol
_atom_site_fract_x
_atom_site_fract_y
_atom_site_fract_z
_atom_site_occupancy
Ac1 Ac 0.000 0.500 0.158 1
Ac2 Ac 0.500 0.000 0.842 1
Pr1 Pr 0.000 0.000 0.500 1
Ho1 Ho 0.174 0.329 0.826 1
Ho2 Ho 0.329 0.174 0.174 1
Ho3 Ho 0.338 0.662 0.500 1
Ho4 Ho 0.662 0.338 0.500 1
Ho5 Ho 0.671 0.826 0.174 1
Ho6 Ho 0.826 0.671 0.826 1
# - Fermi-level density of states: 1.8639 states/eV/atom
# - Space group: C222
# - Electronic total energy: -4.352 eV/atom

6.
# AcPr5Ho3 (PBE-GGA, optimized geometry)
data_AcPr5Ho3
_chemical_formula_sum 'Ac2 Pr10 Ho6'
_cell_length_a 10.087
_cell_length_b 10.087
_cell_length_c 7.185
_cell_angle_alpha 90.00
_cell_angle_beta 90.00
_cell_angle_gamma 60.45
_symmetry_space_group_name_H-M 'P 1'
_symmetry_Int_Tables_number 1
_symmetry_space_group_name_Hall 'P 1'
loop_
_atom_site_label
_atom_site_type_symbol
_atom_site_fract_x
_atom_site_fract_y
_atom_site_fract_z
_atom_site_occupancy
Ac1 Ac 0.139 0.861 0.750 1
Ac2 Ac 0.861 0.139 0.250 1
Pr1 Pr 0.139 0.504 0.250 1
Pr2 Pr 0.198 0.489 0.750 1
Pr3 Pr 0.201 0.799 0.250 1
Pr4 Pr 0.489 0.198 0.250 1
Pr5 Pr 0.496 0.861 0.250 1
Pr6 Pr 0.504 0.139 0.750 1
Pr7 Pr 0.511 0.802 0.750 1
Pr8 Pr 0.799 0.201 0.750 1
Pr9 Pr 0.802 0.511 0.250 1
Pr10 Pr 0.861 0.496 0.750 1
Ho1 Ho 0.172 0.172 0.000 1
Ho2 Ho 0.172 0.172 0.500 1
Ho3 Ho 0.500 0.500 0.000 1
Ho4 Ho 0.500 0.500 0.500 1
Ho5 Ho 0.828 0.828 0.000 1
Ho6 Ho 0.828 0.828 0.500 1
# - Fermi-level density of states: 1.4735 states/eV/atom
# - Space group: Cmcm
# - Electronic total energy: -4.576 eV/atom